Record 1
A relaxed structure of Li2SmZn2Ge2. Source: the Alexandria database, functional PBE-GGA.

a = 4.2498 Å, b = 4.2498 Å, c = 23.6973 Å
α = 90.00°, β = 90.00°, γ = 120.00°
Last column: nearest neighbours and their distance in Å.
Space group R-3m (No. 166, hexagonal axes)
Symmetry-distinct sites (fractional):
Li 0.0000 0.0000 0.1433 (multiplicity 6)  3 Zn 2.62, 3 Li 2.69, 4 Ge 2.69-2.92
Sm 0.0000 0.0000 0.0000 (multiplicity 3)  6 Ge 3.05, 2 Li 3.40
Zn 0.0000 0.0000 0.4375 (multiplicity 6)  3 Ge 2.54, 3 Li 2.62
Ge 0.0000 0.0000 0.2570 (multiplicity 6)  3 Zn 2.54, 1 Li 2.69

Results
energy of formation = -0.51 eV/atom

Record 2
A relaxed structure of Li4Sn3Ge3. Source: the Alexandria database, functional PBE-GGA.

a = 9.5375 Å, b = 9.5375 Å, c = 9.5375 Å
α = 90.00°, β = 90.00°, γ = 90.00°
Last column: nearest neighbours and their distance in Å.
Space group I-43d (No. 220)
Symmetry-distinct sites (fractional):
Li 0.1030 0.3970 0.6030 (multiplicity 16)  3 Ge 2.77
Sn 0.0000 0.2500 0.8750 (multiplicity 12)  4 Ge 2.92, 4 Li 3.11
Ge 0.0000 0.2500 0.3750 (multiplicity 12)  4 Li 2.77, 4 Sn 2.92

Results
energy of formation = -0.14 eV/atom

Record 3
A relaxed structure of Li5Sn6Ge. Source: the Alexandria database, functional PBE-GGA.

a = 4.7970 Å, b = 7.5264 Å, c = 14.1882 Å
α = 90.00°, β = 90.00°, γ = 90.00°
Last column: nearest neighbours and their distance in Å.
Space group Immm (No. 71)
Symmetry-distinct sites (fractional):
Li 0.0000 0.0000 0.0000 (multiplicity 2)  8 Sn 2.98-3.01
Li 0.0000 0.0000 0.3427 (multiplicity 4)  8 Sn 2.99-3.09, 2 Ge 3.28
Li 0.0000 0.5000 0.3285 (multiplicity 4)  8 Sn 2.99-3.02
Sn 0.0000 0.2427 0.1683 (multiplicity 8)  7 Li 2.99-3.09, 1 Ge 3.07, 2 Sn 3.34
Sn 0.0000 0.2647 0.5000 (multiplicity 4)  6 Li 2.98-3.01, 2 Ge 3.12
Ge 0.0000 0.5000 0.0000 (multiplicity 2)  8 Sn 3.07-3.12, 4 Li 3.28

Results
energy of formation = -0.22 eV/atom

Record 4
A relaxed structure of Li3SnGe. Source: the Alexandria database, functional PBE-GGA.

a = 4.7607 Å, b = 4.7607 Å, c = 4.7607 Å
α = 90.00°, β = 90.00°, γ = 90.00°
Last column: nearest neighbours and their distance in Å.
Space group Pm-3m (No. 221)
Symmetry-distinct sites (fractional):
Li 0.0000 0.0000 0.5000 (multiplicity 3)  2 Ge 2.38
Sn 0.5000 0.5000 0.5000 (multiplicity 1)  12 Li 3.37
Ge 0.0000 0.0000 0.0000 (multiplicity 1)  6 Li 2.38

Results
energy of formation = 0.04 eV/atom
relative energy among the computed polymorphs = 0.327 eV/atom

Record 5
A relaxed structure of Li7SnGe4. Source: the Alexandria database, functional PBE-GGA.

a = 12.3507 Å, b = 4.8757 Å, c = 9.2030 Å
α = 90.00°, β = 127.27°, γ = 90.00°
Last column: nearest neighbours and their distance in Å.
Space group C2/m (No. 12)
Symmetry-distinct sites (fractional):
Li 0.0000 0.0000 0.0000 (multiplicity 2)  2 Sn 2.44, 4 Ge 2.56-2.60
Li 0.0620 0.5000 0.3746 (multiplicity 4)  3 Ge 2.53-2.75, 1 Li 2.78
Li 0.1787 0.0000 0.6279 (multiplicity 4)  2 Ge 2.56-2.63
Li 0.2206 0.5000 0.8701 (multiplicity 4)  4 Ge 2.71-2.94, 2 Li 2.78-2.89
Sn 0.0000 0.5000 0.0000 (multiplicity 2)  2 Li 2.44
Ge 0.0564 0.0000 0.7745 (multiplicity 4)  1 Ge 2.51, 5 Li 2.56-2.75
Ge 0.1894 0.0000 0.3507 (multiplicity 4)  1 Ge 2.51, 3 Li 2.53-2.63

Results
energy of formation = -0.18 eV/atom

Record 6
A relaxed structure of Li3SnGe. Source: the Alexandria database, functional PBE-GGA.

a = 4.9866 Å, b = 4.9529 Å, c = 7.6958 Å
α = 90.00°, β = 108.18°, γ = 90.00°
Last column: nearest neighbours and their distance in Å.
Space group P2_1/m (No. 11)
Symmetry-distinct sites (fractional):
Li 0.0672 0.2500 0.3341 (multiplicity 2)  4 Li 2.69-2.99, 4 Ge 2.80-2.98, 2 Sn 2.87-2.95
Li 0.1375 0.7500 0.0752 (multiplicity 2)  1 Ge 2.86, 5 Li 2.89-3.05, 4 Sn 2.89-2.92
Li 0.2382 0.2500 0.7021 (multiplicity 2)  4 Li 2.69-2.91, 2 Ge 2.71-2.85, 2 Sn 2.98
Sn 0.4581 0.2500 0.1291 (multiplicity 2)  9 Li 2.87-3.12, 1 Ge 2.96
Ge 0.3578 0.7500 0.4664 (multiplicity 2)  7 Li 2.71-2.98, 2 Ge 2.82, 1 Sn 2.96

Results
energy of formation = -0.29 eV/atom
relative energy among the computed polymorphs = 0.000 eV/atom

Record 7
A relaxed structure of Li3SnGe. Source: the Alexandria database, functional PBE-GGA.

a = 5.0066 Å, b = 5.0066 Å, c = 5.0066 Å
α = 90.00°, β = 90.00°, γ = 90.00°
Last column: nearest neighbours and their distance in Å.
Space group Pm-3m (No. 221)
Symmetry-distinct sites (fractional):
Li 0.0000 0.0000 0.5000 (multiplicity 3)  2 Sn 2.50
Sn 0.0000 0.0000 0.0000 (multiplicity 1)  6 Li 2.50
Ge 0.5000 0.5000 0.5000 (multiplicity 1)  12 Li 3.54

Results
energy of formation = 0.32 eV/atom
relative energy among the computed polymorphs = 0.605 eV/atom

Record 8
A relaxed structure of LiSnGe3. Source: the Alexandria database, functional PBE-GGA.

a = 4.7231 Å, b = 4.7231 Å, c = 4.7231 Å
α = 90.00°, β = 90.00°, γ = 90.00°
Last column: nearest neighbours and their distance in Å.
Space group Pm-3m (No. 221)
Symmetry-distinct sites (fractional):
Li 0.0000 0.0000 0.0000 (multiplicity 1)  6 Ge 2.36
Sn 0.5000 0.5000 0.5000 (multiplicity 1)  12 Ge 3.34
Ge 0.0000 0.0000 0.5000 (multiplicity 3)  2 Li 2.36

Results
energy of formation = 0.38 eV/atom
relative energy among the computed polymorphs = 0.000 eV/atom